# 1
! MoAsOs, single point on PBEsol structure, DFT meta-GGA SCAN; values from VASP
&SYSTEM
  ibrav = 0, nat = 12, ntyp = 3
/
ATOMIC_SPECIES
Mo 95.94 Mo.upf
As 74.92 As.upf
Os 190.23 Os.upf
CELL_PARAMETERS angstrom
5.891 0.000 0.000
0.000 5.891 0.000
0.000 0.000 5.891
ATOMIC_POSITIONS angstrom
Mo 0.000 0.000 0.000
Mo 0.000 2.946 2.946
Mo 2.946 0.000 2.946
Mo 2.946 2.946 0.000
As 1.473 1.473 1.473
As 1.473 4.418 4.418
As 4.418 1.473 4.418
As 4.418 4.418 1.473
Os 1.473 1.473 4.418
Os 1.473 4.418 1.473
Os 4.418 1.473 1.473
Os 4.418 4.418 4.418
! - E: -42.019 eV per atom
! - V: 17.0 A^3/atom
! - Energy above the lowest structure with this stoichiometry: 0.354 eV/f.u.

# 2
! MoAsOs, single point on PBEsol structure, DFT meta-GGA SCAN; values from VASP
&SYSTEM
  ibrav = 0, nat = 12, ntyp = 3
/
ATOMIC_SPECIES
Mo 95.94 Mo.upf
As 74.92 As.upf
Os 190.23 Os.upf
CELL_PARAMETERS angstrom
2.978 0.000 0.000
0.000 4.694 0.000
0.000 0.000 13.105
ATOMIC_POSITIONS angstrom
Mo 0.000 0.000 0.000
Mo 0.000 2.347 6.552
Mo 1.489 0.000 6.552
Mo 1.489 2.347 0.000
As 0.000 0.000 4.337
As 0.000 2.347 10.890
As 1.489 0.000 10.890
As 1.489 2.347 4.337
Os 0.000 0.000 8.654
Os 0.000 2.347 2.101
Os 1.489 0.000 2.101
Os 1.489 2.347 8.654
! - E: -41.770 eV per atom
! - V: 15.3 A^3/atom
! - Energy above the lowest structure with this stoichiometry: 1.099 eV/f.u.

# 3
! MoAs4Os, single point on PBEsol structure, DFT meta-GGA SCAN; values from VASP
&SYSTEM
  ibrav = 0, nat = 6, ntyp = 3
/
ATOMIC_SPECIES
Mo 95.94 Mo.upf
As 74.92 As.upf
Os 190.23 Os.upf
CELL_PARAMETERS angstrom
0.000 3.677 3.677
3.677 0.000 3.677
3.677 3.677 0.000
ATOMIC_POSITIONS angstrom
Mo 0.000 0.000 0.000
As 2.757 2.757 2.757
As 4.597 4.597 2.757
As 4.597 2.757 4.597
As 2.757 4.597 4.597
Os 5.516 5.516 5.516
! - E: -30.060 eV per atom
! - V: 16.6 A^3/atom

# 4
! SrMo2AsOs, single point on PBEsol structure, DFT meta-GGA SCAN; values from VASP
&SYSTEM
  ibrav = 0, nat = 5, ntyp = 4
/
ATOMIC_SPECIES
Sr 87.62 Sr.upf
Mo 95.94 Mo.upf
As 74.92 As.upf
Os 190.23 Os.upf
CELL_PARAMETERS angstrom
4.663 0.000 0.000
0.000 4.663 0.000
0.000 0.000 5.647
ATOMIC_POSITIONS angstrom
Sr 0.000 0.000 0.000
Mo 0.000 2.331 2.824
Mo 2.331 0.000 2.824
As 2.331 2.331 0.000
Os 0.000 0.000 2.824
! - E: -35.666 eV per atom
! - V: 24.6 A^3/atom

# 5
! Mo3AsP, single point on PBEsol structure, DFT meta-GGA SCAN; values from VASP
&SYSTEM
  ibrav = 0, nat = 5, ntyp = 3
/
ATOMIC_SPECIES
Mo 95.94 Mo.upf
As 74.92 As.upf
P 30.97 P.upf
CELL_PARAMETERS angstrom
4.551 0.000 0.000
0.000 4.551 0.000
0.000 0.000 4.551
ATOMIC_POSITIONS angstrom
Mo 0.000 0.000 2.276
Mo 0.000 2.276 0.000
Mo 2.276 0.000 0.000
As 0.000 0.000 0.000
P 2.276 2.276 2.276
! - E: -25.571 eV per atom
! - V: 18.9 A^3/atom

# 6
! MoAsP, single point on PBEsol structure, DFT meta-GGA SCAN; values from VASP
&SYSTEM
  ibrav = 0, nat = 6, ntyp = 3
/
ATOMIC_SPECIES
Mo 95.94 Mo.upf
As 74.92 As.upf
P 30.97 P.upf
CELL_PARAMETERS angstrom
3.252 0.000 0.000
0.000 3.252 0.000
0.000 0.000 8.256
ATOMIC_POSITIONS angstrom
Mo 0.000 0.000 0.000
Mo 1.626 1.626 4.128
As 0.000 0.000 2.671
As 1.626 1.626 6.799
P 0.000 0.000 5.359
P 1.626 1.626 1.231
! - E: -21.850 eV per atom
! - V: 14.6 A^3/atom

Number 1: formation enthalpy at 0 K 0.90 eV per formula unit. Number 2: formation enthalpy at 0 K 1.64 eV per formula unit. Number 3: formation enthalpy at 0 K 7.17 eV per formula unit. Number 4: formation enthalpy at 0 K 5.79 eV per formula unit. Number 5: formation enthalpy at 0 K 7.39 eV per formula unit. Number 6: formation enthalpy at 0 K -0.08 eV per formula unit.